Density functional theory data (GGA-PBE) for a geometry-optimized LaRh2Cl structure.

Lattice parameters (Å, degrees): 4.1891 4.1891 21.0312 90.00 90.00 120.00
Last column: nearest neighbours and their distance in Å.
Space group R3m (No. 160, hexagonal axes)
Asymmetric unit:
La 0.0000 0.0000 0.0000 [3 per cell]  3 Cl 2.97, 6 Rh 2.98-3.32
Rh 0.0000 0.0000 0.4411 [3 per cell]  3 Rh 2.48
Rh 0.0000 0.0000 0.7492 [3 per cell]  3 Rh 2.48
Cl 0.0000 0.0000 0.2512 [3 per cell]  3 La 2.97

Computed properties:
Excess energy over the best structure of this formula in the dataset   0.25 eV/f.u.
Total DFT energy (no corrections)   -5.922 eV per atom
ΔE_f (raw)   -0.55 eV per atom



Density functional theory data (GGA-PBE) for a geometry-optimized La4RhCl5 structure.

Lattice parameters (Å, degrees): 18.3996 4.0158 8.6529 90.00 101.83 90.00
Last column: nearest neighbours and their distance in Å.
Space group C2/m (No. 12)
Asymmetric unit:
La 0.0088 0.0000 0.2299 [4 per cell]  2 Rh 2.81, 4 Cl 2.92-3.11
La 0.1679 0.5000 0.0556 [4 per cell]  5 Cl 2.93-3.16, 1 Rh 3.03
Rh 0.0000 0.5000 0.0000 [2 per cell]  6 La 2.81-3.03
Cl 0.0000 0.5000 0.5000 [2 per cell]  4 La 3.11
Cl 0.1594 0.0000 0.8017 [4 per cell]  4 La 2.96-3.16
Cl 0.1709 0.0000 0.3026 [4 per cell]  3 La 2.92-2.93

Computed properties:
Total DFT energy (no corrections)   -5.398 eV per atom
ΔE_f (raw)   -1.77 eV per atom



Density functional theory data (GGA-PBE) for a geometry-optimized LaRh2Cl structure.

Lattice parameters (Å, degrees): 3.3832 4.6615 4.7556 90.00 90.00 90.00
Last column: nearest neighbours and their distance in Å.
Space group Pmmm (No. 47)
Asymmetric unit:
La 0.0000 0.0000 0.0000 [1 per cell]  4 Rh 2.88, 4 Cl 2.92
Rh 0.0000 0.5000 0.5000 [1 per cell]  4 Cl 2.88, 4 Rh 2.92
Rh 0.5000 0.5000 0.0000 [1 per cell]  4 La 2.88, 4 Rh 2.92
Cl 0.5000 0.0000 0.5000 [1 per cell]  4 Rh 2.88, 4 La 2.92

Computed properties:
Excess energy over the best structure of this formula in the dataset   0.85 eV/f.u.
Total DFT energy (no corrections)   -5.771 eV per atom
ΔE_f (raw)   -0.40 eV per atom



Density functional theory data (GGA-PBE) for a geometry-optimized La5RhCl5 structure.

Lattice parameters (Å, degrees): 13.0062 5.9017 8.4651 90.00 109.48 90.00
Last column: nearest neighbours and their distance in Å.
Space group C2/m (No. 12)
Asymmetric unit:
La 0.0000 0.0000 0.0000 [2 per cell]  2 Rh 2.95, 4 Cl 3.00-3.02
La 0.1562 0.5000 0.3106 [4 per cell]  1 Rh 2.73, 5 Cl 2.94-3.04
La 0.1748 0.5000 0.8489 [4 per cell]  1 Rh 2.96, 5 Cl 2.98-3.16
Rh 0.0000 0.5000 0.0000 [2 per cell]  6 La 2.73-2.96
Cl 0.0000 0.5000 0.5000 [2 per cell]  4 La 2.98-3.07
Cl 0.1531 0.0000 0.8027 [4 per cell]  5 La 2.94-3.05
Cl 0.1604 0.0000 0.3534 [4 per cell]  5 La 2.97-3.16

Computed properties:
Total DFT energy (no corrections)   -5.335 eV per atom
ΔE_f (raw)   -1.59 eV per atom



Density functional theory data (GGA-PBE) for a geometry-optimized LaRh2Cl structure.

Lattice parameters (Å, degrees): 3.5524 3.5422 7.7559 90.00 102.09 90.00
Last column: nearest neighbours and their distance in Å.
Space group Pm (No. 6)
Asymmetric unit:
La 0.0000 0.0000 0.0000 [1 per cell]  1 Rh 2.63
Rh 0.3827 0.5000 0.7417 [1 per cell]  4 Rh 2.59-2.60
Rh 0.8428 0.0000 0.6536 [1 per cell]  4 Rh 2.59-2.60, 1 La 2.63
Cl 0.6004 0.5000 0.2195 [1 per cell]  4 La 3.01

Computed properties:
Excess energy over the best structure of this formula in the dataset   0.00 eV/f.u.
Total DFT energy (no corrections)   -5.984 eV per atom
ΔE_f (raw)   -0.61 eV per atom



Density functional theory data (GGA-PBE) for a geometry-optimized LaRhCl structure.

Lattice parameters (Å, degrees): 6.6366 6.6366 6.6366 90.00 90.00 90.00
Last column: nearest neighbours and their distance in Å.
Space group F-43m (No. 216)
Asymmetric unit:
La 0.0000 0.0000 0.0000 [4 per cell]  4 Rh 2.87
Rh 0.2500 0.2500 0.7500 [4 per cell]  4 Cl 2.87, 4 La 2.87
Cl 0.0000 0.0000 0.5000 [4 per cell]  4 Rh 2.87

Computed properties:
Total DFT energy (no corrections)   -5.375 eV per atom
ΔE_f (raw)   -0.67 eV per atom



What is the formula in the fifth record? LaRh2Cl



Look up the ΔE_f (raw) of the second one. -1.77 eV per atom



What is the formula in the sixth record? LaRhCl



Copy entry 3 word for word.
Density functional theory data (GGA-PBE) for a geometry-optimized LaRh2Cl structure.

Lattice parameters (Å, degrees): 3.3832 4.6615 4.7556 90.00 90.00 90.00
Last column: nearest neighbours and their distance in Å.
Space group Pmmm (No. 47)
Asymmetric unit:
La 0.0000 0.0000 0.0000 [1 per cell]  4 Rh 2.88, 4 Cl 2.92
Rh 0.0000 0.5000 0.5000 [1 per cell]  4 Cl 2.88, 4 Rh 2.92
Rh 0.5000 0.5000 0.0000 [1 per cell]  4 La 2.88, 4 Rh 2.92
Cl 0.5000 0.0000 0.5000 [1 per cell]  4 Rh 2.88, 4 La 2.92

Computed properties:
Excess energy over the best structure of this formula in the dataset   0.85 eV/f.u.
Total DFT energy (no corrections)   -5.771 eV per atom
ΔE_f (raw)   -0.40 eV per atom